Record 1
The following is a DFT calculation (PBE) of an optimized crystal structure of Nd4Y3Tm4.

Output
- ΔE to the lowest computed polymorph: 0.00 eV per formula unit
- E_form: 0.03 eV per atom
- N(E_F): 1.5368 states/eV per atom

Cell lengths 3.5935, 5.5988, 18.3016 Å; angles 98.79, 95.58, 90.00 degrees
Space group P-1 (No. 2)
Unique sites:
Nd  0.0540  0.0529  0.1049 (multiplicity 2)
Nd  0.1784  0.6775  0.3548 (multiplicity 2)
Y  0.3525  0.8536  0.7076 (multiplicity 2)
Y  0.5000  0.5000  0.0000 (multiplicity 1)
Tm  0.2354  0.2353  0.4705 (multiplicity 2)
Tm  0.4054  0.4071  0.8149 (multiplicity 2)

Record 2
The following is a DFT calculation (PBE) of an optimized crystal structure of Nd7Y3Tm2.

Output
- ΔE to the lowest computed polymorph: 2.25 eV per formula unit
- E_form: 0.28 eV per atom
- N(E_F): 1.6498 states/eV per atom

Cell lengths 6.6249, 6.6249, 33.5456 Å; angles 90.00, 90.00, 120.00 degrees
Space group R-3m (No. 166, hexagonal axes)
Unique sites:
Nd  0.0000  0.0000  0.0000 (multiplicity 3)
Nd  0.0078  0.5039  0.4159 (multiplicity 18)
Y  0.0000  0.0000  0.3486 (multiplicity 6)
Y  0.0000  0.0000  0.5000 (multiplicity 3)
Tm  0.0000  0.0000  0.1656 (multiplicity 6)

Record 3
The following is a DFT calculation (PBE) of an optimized crystal structure of Nd2YTm4.

Output
- ΔE to the lowest computed polymorph: 0.00 eV per formula unit
- E_form: 0.08 eV per atom
- N(E_F): 1.6323 states/eV per atom

Cell lengths 6.0049, 8.5042, 9.8670 Å; angles 85.18, 72.41, 69.42 degrees
Space group P1 (No. 1)
Unique sites:
Nd  0.0000  0.0000  0.0000 (multiplicity 1)
Nd  0.0097  0.9307  0.3611 (multiplicity 1)
Nd  0.1906  0.4996  0.5001 (multiplicity 1)
Nd  0.2997  0.0679  0.6385 (multiplicity 1)
Y  0.1913  0.5665  0.1359 (multiplicity 1)
Y  0.8936  0.4332  0.8637 (multiplicity 1)
Tm  0.3690  0.6435  0.7751 (multiplicity 1)
Tm  0.4006  0.1463  0.2741 (multiplicity 1)
Tm  0.4450  0.2145  0.9207 (multiplicity 1)
Tm  0.5804  0.7853  0.0789 (multiplicity 1)
Tm  0.6164  0.7114  0.4214 (multiplicity 1)
Tm  0.7484  0.2875  0.5786 (multiplicity 1)
Tm  0.7887  0.3563  0.2246 (multiplicity 1)
Tm  0.8200  0.8531  0.7253 (multiplicity 1)

Record 4
The following is a DFT calculation (PBE) of an optimized crystal structure of Nd5Y5Tm2.

Output
- E_form: 0.02 eV per atom
- N(E_F): 1.4261 states/eV per atom

Cell lengths 15.2785, 5.0970, 11.3972 Å; angles 90.00, 116.59, 90.00 degrees
Space group C2/m (No. 12)
Unique sites:
Nd  0.0000  0.0000  0.0000 (multiplicity 2)
Nd  0.0824  0.0000  0.7499 (multiplicity 4)
Nd  0.1665  0.0000  0.4997 (multiplicity 4)
Y  0.0000  0.5000  0.5000 (multiplicity 2)
Y  0.1666  0.5000  0.0009 (multiplicity 4)
Y  0.2482  0.0000  0.2480 (multiplicity 4)
Tm  0.0835  0.5000  0.2498 (multiplicity 4)

Record 5
The following is a DFT calculation (PBE) of an optimized crystal structure of NdY7Tm2.

Output
- ΔE to the lowest computed polymorph: 0.00 eV per formula unit
- E_form: 0.22 eV per atom
- N(E_F): 1.9933 states/eV per atom

Cell lengths 6.4574, 29.5315, 3.4462 Å; angles 90.00, 90.00, 90.00 degrees
Space group Cmmm (No. 65)
Unique sites:
Nd  0.0000  0.0000  0.0000 (multiplicity 2)
Y  0.0000  0.3094  0.0000 (multiplicity 4)
Y  0.0000  0.5000  0.5000 (multiplicity 2)
Y  0.2461  0.1013  0.5000 (multiplicity 8)
Tm  0.0000  0.2072  0.5000 (multiplicity 4)

Record 6
The following is a DFT calculation (PBE) of an optimized crystal structure of Nd4Y5Tm2.

Output
- ΔE to the lowest computed polymorph: 0.00 eV per formula unit
- E_form: 0.10 eV per atom
- N(E_F): 1.6184 states/eV per atom

Cell lengths 24.1353, 3.5566, 8.6756 Å; angles 90.00, 94.64, 90.00 degrees
Space group C2/m (No. 12)
Unique sites:
Nd  0.0396  0.0000  0.3442 (multiplicity 4)
Nd  0.2244  0.5000  0.8261 (multiplicity 4)
Y  0.0000  0.5000  0.0000 (multiplicity 2)
Y  0.1299  0.0000  0.0446 (multiplicity 4)
Y  0.1845  0.0000  0.4743 (multiplicity 4)
Tm  0.0879  0.5000  0.6962 (multiplicity 4)